This record from Alexandria via LeMat-Bulk describes a relaxed TiAl2Ag2 crystal. The functional is PBE.

The value obtained for the energy above the most stable polymorph in this dataset is 14 meV per atom. The energy comes out at -42.04 eV per cell. The space group is No. 127. The calculation puts the formation energy from the elements at 0.01 eV per atom.

Lattice parameters (Å, degrees): 7.6139 7.6139 2.9406 90.00 90.00 90.00
Closest atoms and distances in Å follow each position.
Element x y z (fractional)
Al (0.6383, 0.1383, 0.0000)  6 Ag 2.61-2.72
Ag (0.8391, 0.3391, 0.5000)  6 Al 2.61-2.72
Ti (0.0000, 0.0000, 0.0000)  2 Ti 2.94, 4 Al 2.95, 8 Ag 3.21
Al (0.3617, 0.8617, 0.0000)  6 Ag 2.61-2.72
Ag (0.3391, 0.1609, 0.5000)  6 Al 2.61-2.72
Ag (0.6609, 0.8391, 0.5000)  6 Al 2.61-2.72
Al (0.8617, 0.6383, 0.0000)  6 Ag 2.61-2.72
Al (0.1383, 0.3617, 0.0000)  6 Ag 2.61-2.72
Ag (0.1609, 0.6609, 0.5000)  6 Al 2.61-2.72
Ti (0.5000, 0.5000, 0.0000)  2 Ti 2.94, 4 Al 2.95, 8 Ag 3.21